(1)
# BeRuO2

Crystalline BeRuO2 at its relaxed geometry (PBE, Alexandria).

Computed properties:
The energy relative to the elements, uncorrected comes out at -1.30 eV per atom. Its space group is R-3m, No. 166.

Cell lengths 5.977, 5.977, 5.977 Å; angles 25.52, 25.52, 25.52 degrees
Fractional positions:
O: 0.890 0.890 0.890
O: 0.110 0.110 0.110
Ru: 0.000 0.000 0.000
Be: 0.500 0.500 0.500



(2)
# CrIn3

Crystalline CrIn3 at its relaxed geometry (PBE, Alexandria).

Computed properties:
The formation enthalpy at 0 K comes out at 0.361 eV/atom. Its space group is R-3m, No. 166.

Cell lengths 5.825, 5.825, 5.825 Å; angles 116.48, 116.48, 116.48 degrees
Each line ends with the local moment (μB).
Fractional positions:
In: 0.500 0.500 0.000  -0.04
Cr: 0.000 0.000 0.000  3.75
In: 0.000 0.500 0.500  -0.04
In: 0.500 0.000 0.500  -0.04



(3)
# Cd2CoSn

Crystalline Cd2CoSn at its relaxed geometry (PBE, Alexandria).

Computed properties:
The formation enthalpy at 0 K comes out at 0.563 eV/atom. Its space group is R-3m, No. 166.

Cell lengths 2.988, 2.988, 11.481 Å; angles 82.52, 82.52, 60.00 degrees
Each line ends with the local moment (μB).
Fractional positions:
Cd: 0.078 0.078 0.766  -0.01
Sn: 0.500 0.500 0.500  0.00
Cd: 0.922 0.922 0.234  -0.01
Co: 0.000 0.000 0.000  1.81



(4)
# CdCoSbH2

Crystalline CdCoSbH2 at its relaxed geometry (PBE, Alexandria).

Computed properties:
The calculation puts the raw total energy at -3.21 eV/atom. Its space group is P4/mmm, No. 123.

Cell lengths 3.579, 6.897, 3.579 Å; angles 90.00, 90.00, 90.00 degrees
Fractional positions:
Sb: 0.000 0.500 0.000
H: 0.000 0.000 0.500
Co: 0.500 0.500 0.500
Cd: 0.000 0.000 0.000
H: 0.500 0.000 0.000



(5)
# NpCuAu2

Crystalline NpCuAu2 at its relaxed geometry (PBE, Alexandria).

Computed properties:
The formation enthalpy at 0 K comes out at -0.066 eV/atom. Its space group is P4/mmm, No. 123.

Cell lengths 3.143, 3.143, 7.528 Å; angles 90.00, 90.00, 90.00 degrees
Each line ends with the local moment (μB).
Fractional positions:
Au: 0.000 0.000 0.793  0.01
Np: 0.500 0.500 0.500  4.02
Au: 0.000 0.000 0.207  0.01
Cu: 0.500 0.500 0.000  -0.02



(6)
# NdCoH6

Crystalline NdCoH6 at its relaxed geometry (PBE, Alexandria).

Computed properties:
The calculation puts the raw total energy at -4.36 eV/atom. Its space group is R-3m, No. 166.

Cell lengths 4.435, 4.435, 4.495 Å; angles 60.44, 60.44, 60.00 degrees
Each line ends with the local moment (μB).
Fractional positions:
H: 0.905 0.905 0.780  0.00
H: 0.590 0.095 0.220  0.00
H: 0.095 0.590 0.220  0.00
H: 0.095 0.095 0.220  0.00
H: 0.410 0.905 0.780  0.00
Nd: 0.500 0.500 0.500  0.00
Co: 0.000 0.000 0.000  -0.07
H: 0.905 0.410 0.780  0.00



(7)
# LaAgSn

Crystalline LaAgSn at its relaxed geometry (PBE, Alexandria).

Computed properties:
The formation enthalpy at 0 K comes out at -0.536 eV/atom. Its space group is P1, No. 1.

Cell lengths 4.499, 4.512, 8.933 Å; angles 104.66, 75.36, 90.00 degrees
Fractional positions:
Ag: 0.639 0.180 0.298
Sn: 0.474 0.343 0.623
Sn: 0.227 0.095 0.123
La: 0.809 0.511 0.959
La: 0.058 0.761 0.458
Ag: 0.390 0.930 0.798



(8)
# Y2GaHg2

Crystalline Y2GaHg2 at its relaxed geometry (PBE, Alexandria).

Computed properties:
The formation enthalpy at 0 K comes out at -0.291 eV/atom. Its space group is P4/mbm, No. 127.

Cell lengths 8.225, 8.225, 3.934 Å; angles 90.00, 90.00, 90.00 degrees
Fractional positions:
Hg: 0.637 0.863 0.500
Y: 0.336 0.836 0.000
Hg: 0.137 0.637 0.500
Hg: 0.863 0.363 0.500
Ga: 0.000 0.000 0.000
Y: 0.164 0.336 0.000
Y: 0.664 0.164 0.000
Ga: 0.500 0.500 0.000
Hg: 0.363 0.137 0.500
Y: 0.836 0.664 0.000



(9)
# LiZnHg2

Crystalline LiZnHg2 at its relaxed geometry (PBE, Alexandria).

Computed properties:
The formation enthalpy at 0 K comes out at -0.104 eV/atom. Its space group is C2/m, No. 12.

Cell lengths 4.854, 4.854, 5.402 Å; angles 78.74, 78.74, 40.53 degrees
Fractional positions:
Hg: 0.998 0.998 0.003
Hg: 0.502 0.502 0.497
Li: 0.250 0.250 0.250
Zn: 0.750 0.750 0.750



(10)
# CePu2Pd

Crystalline CePu2Pd at its relaxed geometry (PBE, Alexandria).

Computed properties:
The formation enthalpy at 0 K comes out at -0.189 eV/atom. Its space group is Fm-3m, No. 225.

Cell lengths 5.051, 5.051, 5.051 Å; angles 60.00, 60.00, 60.00 degrees
Each line ends with the local moment (μB).
Fractional positions:
Pu: 0.250 0.250 0.250  5.42
Pd: 0.500 0.500 0.500  -0.01
Ce: 0.000 0.000 0.000  1.12
Pu: 0.750 0.750 0.750  5.42



(11)
# CrSbP

Crystalline CrSbP at its relaxed geometry (PBE, Alexandria).

Computed properties:
The energy relative to the elements, uncorrected comes out at -0.16 eV per atom. Its space group is C2/m, No. 12.

Cell lengths 9.343, 3.071, 7.879 Å; angles 90.00, 108.80, 90.00 degrees
Each line ends with the local moment (μB).
Fractional positions:
P: 0.436 0.000 0.835  -0.06
P: 0.564 0.000 0.165  -0.06
Cr: 0.640 0.000 0.484  0.84
Sb: 0.834 0.500 0.360  -0.04
Cr: 0.640 0.500 0.984  0.84
Cr: 0.360 0.000 0.516  0.84
P: 0.436 0.500 0.335  -0.06
Sb: 0.834 0.000 0.860  -0.04
Sb: 0.166 0.000 0.140  -0.04
P: 0.564 0.500 0.665  -0.06
Sb: 0.166 0.500 0.640  -0.04
Cr: 0.360 0.500 0.016  0.84



(12)
# HfZnCd2

Crystalline HfZnCd2 at its relaxed geometry (PBE, Alexandria).

Computed properties:
The formation enthalpy at 0 K comes out at 0.075 eV/atom. Its space group is R3m, No. 160.

Cell lengths 3.065, 3.065, 10.147 Å; angles 81.31, 81.31, 60.00 degrees
Fractional positions:
Cd: 0.079 0.079 0.763
Hf: 0.500 0.500 0.500
Zn: 0.667 0.667 0.000
Cd: 0.254 0.254 0.237



(13)
# Ho3Pb5

Crystalline Ho3Pb5 at its relaxed geometry (PBE, Alexandria).

Computed properties:
The formation enthalpy at 0 K comes out at -0.350 eV/atom. Its space group is Cmmm, No. 65.

Cell lengths 4.733, 6.960, 6.960 Å; angles 96.68, 90.00, 90.00 degrees
Fractional positions:
Pb: 0.500 0.727 0.727
Pb: 0.500 0.273 0.273
Pb: 0.000 0.000 0.500
Ho: 0.500 0.221 0.779
Pb: 0.000 0.000 0.000
Ho: 0.000 0.500 0.500
Pb: 0.000 0.500 0.000
Ho: 0.500 0.779 0.221



(14)
# Hf3SnBi

Crystalline Hf3SnBi at its relaxed geometry (PBE, Alexandria).

Computed properties:
The formation enthalpy at 0 K comes out at -0.156 eV/atom. Its space group is C2/c, No. 15.

Cell lengths 8.323, 8.323, 10.603 Å; angles 77.89, 77.89, 40.06 degrees
Fractional positions:
Bi: 0.603 0.116 0.526
Bi: 0.884 0.397 0.974
Hf: 0.653 0.758 0.733
Hf: 0.347 0.242 0.267
Hf: 0.125 0.074 0.223
Hf: 0.699 0.187 0.020
Sn: 0.000 0.500 0.500
Hf: 0.301 0.813 0.980
Hf: 0.074 0.125 0.723
Sn: 0.486 0.514 0.750
Bi: 0.397 0.884 0.474
Sn: 0.514 0.486 0.250
Hf: 0.242 0.347 0.767
Hf: 0.187 0.699 0.520
Hf: 0.926 0.875 0.277
Hf: 0.813 0.301 0.480
Sn: 0.500 0.000 0.000
Bi: 0.116 0.603 0.026
Hf: 0.875 0.926 0.777
Hf: 0.758 0.653 0.233



(15)
# La3TlO2

Crystalline La3TlO2 at its relaxed geometry (PBE, Alexandria).

Computed properties:
The energy relative to the elements, uncorrected comes out at -2.08 eV per atom. Its space group is Immm, No. 71.

Cell lengths 4.489, 5.171, 12.365 Å; angles 90.00, 90.00, 90.00 degrees
Fractional positions:
O: 0.750 0.250 0.448
O: 0.750 0.250 0.052
La: 0.250 0.250 0.976
La: 0.250 0.750 0.750
La: 0.250 0.250 0.524
La: 0.750 0.250 0.250
Tl: 0.750 0.250 0.750
O: 0.250 0.750 0.552
Tl: 0.250 0.750 0.250
La: 0.750 0.750 0.476
La: 0.750 0.750 0.024
O: 0.250 0.750 0.948



(16)
# ZrTaIn2

Crystalline ZrTaIn2 at its relaxed geometry (PBE, Alexandria).

Computed properties:
The formation enthalpy at 0 K comes out at -0.026 eV/atom. Its space group is Pmmm, No. 47.

Cell lengths 4.522, 3.020, 6.796 Å; angles 63.59, 90.00, 90.00 degrees
Fractional positions:
Zr: 0.500 0.750 0.750
Ta: 0.500 0.250 0.250
In: 0.000 0.993 0.007
In: 0.000 0.507 0.493